1.
Density functional theory data (PBE-GGA) for a geometry-optimized RbZnPb3 structure.

```
5
Lattice="5.6546 0.0000 0.0000 0.0000 5.6546 0.0000 0.0000 0.0000 5.6546" Properties=species:S:1:pos:R:3 pbc="T T T"
Pb 0.0000 2.8273 0.0000
Pb 0.0000 0.0000 2.8273
Pb 2.8273 0.0000 0.0000
Zn 0.0000 0.0000 0.0000
Rb 2.8273 2.8273 2.8273
```

Output
Calculated formation energy: 0.120 eV per atom

2.
Density functional theory data (PBE-GGA) for a geometry-optimized AcLa8Rh6 structure.

```
15
Lattice="-4.3283 -2.8123 8.6431 -6.6507 -6.9835 2.8886 0.0976 -8.1692 5.8822" Properties=species:S:1:pos:R:3 pbc="T T T"
Ac 0.0000 0.0000 0.0000
La -6.7942 -11.3342 7.7193
La -3.3822 -9.8077 6.8578
La -7.1084 -7.6291 6.7769
La -7.2538 -11.9759 11.6085
La -3.6277 -5.9892 5.8054
La -3.7731 -10.3359 10.6370
La -7.4993 -8.1574 10.5561
La -4.0873 -6.6308 9.6946
Rh -5.0783 -8.5562 5.0361
Rh -5.0580 -12.5710 9.5812
Rh -8.7732 -10.4359 9.4624
Rh -2.1083 -7.5291 7.9515
Rh -5.8235 -5.3940 7.8327
Rh -5.8032 -9.4089 12.3778
```

Output
Calculated formation energy: -0.625 eV per atom

3.
Density functional theory data (PBE-GGA) for a geometry-optimized SrPaIO6 structure.

```
18
Lattice="-3.0738 -3.0776 -3.8301 5.7603 -0.5929 0.2384 -1.0831 -7.6893 7.0478" Properties=species:S:1:pos:R:3 pbc="T T T"
Sr 0.0000 0.0000 0.0000
Sr -0.5415 -3.8447 3.5239
Pa 2.5448 -3.3434 0.6442
Pa -0.9414 -8.0163 2.8120
I -0.3999 -4.1717 -0.7120
I 2.0033 -7.1881 4.1681
O 1.5060 -3.4505 -1.2896
O -1.1273 -4.3648 -2.6918
O 3.8991 -6.6434 3.3963
O 2.7307 -6.9950 6.1480
O 0.5485 -4.0901 1.1802
O 0.2024 -6.1588 -1.1301
O 2.8366 -9.1103 3.8564
O -2.2957 -4.7164 0.0598
O 1.4010 -5.2009 4.5862
O -1.2333 -2.2495 -0.4003
O 1.0549 -7.2697 2.2760
O 0.0974 -7.9093 4.7457
```

Output
E_form (uncorrected): -2170.3 meV per atom

4.
Density functional theory data (PBE-GGA) for a geometry-optimized Ce3PuAl2 structure.

```
12
Lattice="1.7054 -4.9665 -2.6155 2.8008 -2.2902 4.6180 -8.4559 1.1397 3.9388" Properties=species:S:1:pos:R:3 pbc="T T T"
Ce -1.1831 -4.2578 3.2436
Ce -2.7666 -1.8591 2.6976
Ce 1.5617 -3.7006 -0.9138
Ce -4.6716 -3.5001 1.1663
Ce -5.5114 -2.4164 6.8551
Ce 0.7220 -2.6169 4.7749
Pu 1.0128 -5.3053 1.5308
Pu -4.9625 -0.8117 4.4104
Al -1.5386 -3.5966 0.1005
Al -2.4111 -2.5203 5.8407
Al -4.3806 -4.1485 4.3724
Al 0.4310 -1.9684 1.5688
```

Output
Calculated formation energy: -0.197 eV per atom

5.
Density functional theory data (PBE-GGA) for a geometry-optimized Sr2LiZnPt structure.

```
5
Lattice="-3.0683 1.2397 4.8096 -4.4683 -3.1575 -2.0366 1.7877 -3.9167 2.1501" Properties=species:S:1:pos:R:3 pbc="T T T"
Sr -2.2341 -1.5788 -1.0183
Sr -1.5341 0.6199 2.4048
Zn -2.8744 -2.9172 2.4615
Pt 0.0000 0.0000 0.0000
Li 0.8939 -1.9583 1.0750
```

Output
Calculated formation energy: -0.280 eV per atom